Below is an optimized crystal structure of PrPuCuAg, with properties calculated at the PBE level.

The calculation puts the formation enthalpy at 0 K at 0.0267 eV/atom. The calculated total energy is -6.488 eV per atom. The density of states at the Fermi level comes out at 2.855 states/eV per atom.

The structure belongs to space group F-43m (No. 216); the cell edges are 7.319, 7.319 and 7.319 Å and the angles 90.00°, 90.00° and 90.00°. The asymmetric unit holds Pr at (0.000, 0.000, 0.000), Pu at (0.000, 0.000, 0.500), Cu at (0.250, 0.250, 0.250) and Ag at (0.250, 0.250, 0.750).